First-principles (PBE-GGA) data for crystalline PuScOs at its relaxed geometry, as listed in Alexandria via LeMat-Bulk.

It has space group F-43m (No. 216), with a = 6.5081 Å, b = 6.5081 Å, c = 6.5081 Å, α = 90.00°, β = 90.00° and γ = 90.00°. The asymmetric unit holds Pu at (0.0000, 0.0000, 0.0000), Sc at (0.0000, 0.0000, 0.5000) and Os at (0.2500, 0.2500, 0.2500).

The formation energy from the elements is -0.056 eV/atom. The relative energy among the computed polymorphs comes out at 0.0830 eV per atom.

=====

First-principles (PBE-GGA) data for crystalline PuScTcOs at its relaxed geometry, as listed in Alexandria via LeMat-Bulk.

It has space group F-43m (No. 216), with a = 6.5832 Å, b = 6.5832 Å, c = 6.5832 Å, α = 90.00°, β = 90.00° and γ = 90.00°. The asymmetric unit holds Pu at (0.0000, 0.0000, 0.0000), Sc at (0.0000, 0.0000, 0.5000), Tc at (0.2500, 0.2500, 0.2500) and Os at (0.2500, 0.2500, 0.7500).

The formation energy from the elements is -0.194 eV/atom.

=====

First-principles (PBE-GGA) data for crystalline PuScUOs at its relaxed geometry, as listed in Alexandria via LeMat-Bulk.

It has space group F-43m (No. 216), with a = 6.7963 Å, b = 6.7963 Å, c = 6.7963 Å, α = 90.00°, β = 90.00° and γ = 90.00°. The asymmetric unit holds Pu at (0.0000, 0.0000, 0.0000), Sc at (0.2500, 0.2500, 0.2500), U at (0.2500, 0.2500, 0.7500) and Os at (0.0000, 0.0000, 0.5000).

The formation energy from the elements is -0.016 eV/atom.

=====

First-principles (PBE-GGA) data for crystalline PuZrScOs at its relaxed geometry, as listed in Alexandria via LeMat-Bulk.

It has space group F-43m (No. 216), with a = 6.8221 Å, b = 6.8221 Å, c = 6.8221 Å, α = 90.00°, β = 90.00° and γ = 90.00°. The asymmetric unit holds Pu at (0.0000, 0.0000, 0.0000), Zr at (0.2500, 0.2500, 0.7500), Sc at (0.2500, 0.2500, 0.2500) and Os at (0.0000, 0.0000, 0.5000).

The formation energy from the elements is 0.034 eV/atom.